1.
A plane-wave DFT calculation with PBE was carried out for Cs2Ge4Pt5 after structural relaxation.

a b c (Å): 8.658 7.362 6.740
angles (deg): 75.61 55.45 48.94
Positions (direct):
Cs 0.145 0.855 0.145
Cs 0.855 0.145 0.855
Ge 0.213 0.463 0.537
Ge 0.463 0.213 0.787
Ge 0.537 0.787 0.213
Ge 0.787 0.537 0.463
Pt 0.000 0.500 0.000
Pt 0.250 0.250 0.250
Pt 0.500 0.000 0.500
Pt 0.500 0.500 0.500
Pt 0.750 0.750 0.750

Results
Uncorrected energy ... -4.993 eV/atom
Total moment ... 0.00 μB per formula unit
Space-group type ... Fmmm, No. 69
Energy relative to the elements ... -4.538 eV per formula unit

=====

2.
A plane-wave DFT calculation with PBE was carried out for CsGe2Pt after structural relaxation.

a b c (Å): 7.142 7.142 7.142
angles (deg): 90.00 90.00 90.00
Positions (direct):
Cs 0.000 0.000 0.000
Cs 0.000 0.500 0.500
Cs 0.500 0.000 0.500
Cs 0.500 0.500 0.000
Ge 0.250 0.250 0.250
Ge 0.250 0.250 0.750
Ge 0.250 0.750 0.250
Ge 0.250 0.750 0.750
Ge 0.750 0.250 0.250
Ge 0.750 0.250 0.750
Ge 0.750 0.750 0.250
Ge 0.750 0.750 0.750
Pt 0.000 0.000 0.500
Pt 0.000 0.500 0.000
Pt 0.500 0.000 0.000
Pt 0.500 0.500 0.500

Results
Uncorrected energy ... -3.486 eV/atom
Total moment ... 0.00 μB per formula unit
Space-group type ... Fm-3m, No. 225
Energy relative to the elements ... 2.185 eV per formula unit

=====

3.
A plane-wave DFT calculation with PBE was carried out for Cs2RbGePt after structural relaxation.

a b c (Å): 7.240 7.240 5.750
angles (deg): 90.00 90.00 90.00
Positions (direct):
Cs 0.000 0.500 0.000
Cs 0.500 0.000 0.000
Rb 0.000 0.000 0.000
Ge 0.000 0.000 0.500
Pt 0.500 0.500 0.500

Results
Uncorrected energy ... -1.665 eV/atom
Total moment ... 2.27 μB per formula unit
Space-group type ... P4/mmm, No. 123
Offset from the most stable computed form ... 24.53 kcal/mol of atoms
Energy relative to the elements ... 5.009 eV per formula unit

=====

4.
A plane-wave DFT calculation with PBE was carried out for Cs2RbGePt after structural relaxation.

a b c (Å): 7.102 7.102 4.798
angles (deg): 90.00 90.00 90.00
Positions (direct):
Cs 0.000 0.500 0.000
Cs 0.500 0.000 0.000
Rb 0.000 0.000 0.500
Ge 0.500 0.500 0.500
Pt 0.500 0.500 0.000

Results
Uncorrected energy ... -2.728 eV/atom
Total moment ... 0.40 μB per formula unit
Space-group type ... P4/mmm, No. 123
Offset from the most stable computed form ... 0.00 kcal/mol of atoms
Energy relative to the elements ... -0.309 eV per formula unit

=====

5.
A plane-wave DFT calculation with PBE was carried out for Cs2GePtS4 after structural relaxation.

a b c (Å): 14.618 13.641 7.113
angles (deg): 83.20 67.90 28.89
Positions (direct):
Cs 0.054 0.054 0.696
Cs 0.304 0.304 0.946
Cs 0.696 0.696 0.054
Cs 0.946 0.946 0.304
Ge 0.375 0.375 0.375
Ge 0.625 0.625 0.625
Pt 0.125 0.125 0.125
Pt 0.875 0.875 0.875
S 0.037 0.599 0.641
S 0.224 0.641 0.599
S 0.359 0.776 0.963
S 0.401 0.963 0.776
S 0.599 0.037 0.224
S 0.641 0.224 0.037
S 0.776 0.359 0.401
S 0.963 0.401 0.359

Results
Uncorrected energy ... -4.322 eV/atom
Total moment ... 0.00 μB per formula unit
Space-group type ... Fddd, No. 70
Energy relative to the elements, uncorrected ... -712 meV/atom

=====

6.
A plane-wave DFT calculation with PBE was carried out for Cs2GePtSe4 after structural relaxation.

a b c (Å): 14.764 13.804 7.259
angles (deg): 82.76 68.05 29.19
Positions (direct):
Cs 0.060 0.060 0.690
Cs 0.310 0.310 0.940
Cs 0.690 0.690 0.060
Cs 0.940 0.940 0.310
Ge 0.375 0.375 0.375
Ge 0.625 0.625 0.625
Pt 0.125 0.125 0.125
Pt 0.875 0.875 0.875
Se 0.022 0.610 0.634
Se 0.234 0.634 0.610
Se 0.366 0.766 0.978
Se 0.390 0.978 0.766
Se 0.610 0.022 0.234
Se 0.634 0.234 0.022
Se 0.766 0.366 0.390
Se 0.978 0.390 0.366

Results
Uncorrected energy ... -3.964 eV/atom
Total moment ... 0.00 μB per formula unit
Space-group type ... Fddd, No. 70
Energy relative to the elements, uncorrected ... -676 meV/atom

=====

7.
A plane-wave DFT calculation with PBE was carried out for CsGePt2Se after structural relaxation.

a b c (Å): 4.864 4.864 5.493
angles (deg): 90.00 90.00 90.00
Positions (direct):
Cs 0.000 0.000 0.000
Ge 0.500 0.500 0.500
Pt 0.000 0.500 0.500
Pt 0.500 0.000 0.500
Se 0.500 0.500 0.000

Results
Uncorrected energy ... -4.061 eV/atom
Total moment ... 0.00 μB per formula unit
Space-group type ... P4/mmm, No. 123
Energy relative to the elements, uncorrected ... 147 meV/atom

=====

8.
A plane-wave DFT calculation with PBE was carried out for CsTaGe2Pt after structural relaxation.

a b c (Å): 5.190 5.190 5.099
angles (deg): 90.00 90.00 90.00
Positions (direct):
Cs 0.000 0.000 0.000
Ta 0.500 0.500 0.500
Ge 0.000 0.500 0.500
Ge 0.500 0.000 0.500
Pt 0.500 0.500 0.000

Results
Uncorrected energy ... -5.307 eV/atom
Total moment ... 0.00 μB per formula unit
Space-group type ... P4/mmm, No. 123
Energy relative to the elements ... 1.448 eV per formula unit

=====

9.
A plane-wave DFT calculation with PBE was carried out for CsTl2GePt after structural relaxation.

a b c (Å): 6.503 6.503 5.255
angles (deg): 90.00 90.00 90.00
Positions (direct):
Cs 0.000 0.000 0.000
Tl 0.000 0.500 0.000
Tl 0.500 0.000 0.000
Ge 0.500 0.500 0.500
Pt 0.000 0.000 0.500

Results
Uncorrected energy ... -1.948 eV/atom
Total moment ... 0.00 μB per formula unit
Space-group type ... P4/mmm, No. 123
Energy relative to the elements ... 6.506 eV per formula unit

=====

10.
A plane-wave DFT calculation with PBE was carried out for CsTlGe2Pt after structural relaxation.

a b c (Å): 5.353 5.353 6.604
angles (deg): 90.00 90.00 90.00
Positions (direct):
Cs 0.000 0.000 0.000
Tl 0.000 0.000 0.500
Ge 0.000 0.500 0.500
Ge 0.500 0.000 0.500
Pt 0.500 0.500 0.000

Results
Uncorrected energy ... -2.566 eV/atom
Total moment ... 0.00 μB per formula unit
Space-group type ... P4/mmm, No. 123
Energy relative to the elements ... 5.664 eV per formula unit

=====

11.
A plane-wave DFT calculation with PBE was carried out for CsZn2GePt after structural relaxation.

a b c (Å): 5.073 5.073 4.940
angles (deg): 90.00 90.00 90.00
Positions (direct):
Cs 0.000 0.000 0.000
Zn 0.000 0.500 0.500
Zn 0.500 0.000 0.500
Ge 0.500 0.500 0.000
Pt 0.500 0.500 0.500

Results
Uncorrected energy ... -2.949 eV/atom
Total moment ... 0.00 μB per formula unit
Space-group type ... P4/mmm, No. 123
Energy relative to the elements ... -0.685 eV per formula unit

=====

12.
A plane-wave DFT calculation with PBE was carried out for CsPuGeS3 after structural relaxation.

a b c (Å): 8.885 4.031 11.173
angles (deg): 90.00 110.43 90.00
Positions (direct):
Cs 0.240 0.250 0.278
Cs 0.760 0.750 0.722
Pu 0.356 0.750 0.846
Pu 0.644 0.250 0.154
Ge 0.136 0.250 0.569
Ge 0.864 0.750 0.431
S 0.122 0.250 0.775
S 0.316 0.750 0.589
S 0.422 0.750 0.103
S 0.578 0.250 0.897
S 0.684 0.250 0.411
S 0.878 0.750 0.225

Results
Uncorrected energy ... -6.517 eV/atom
Total moment ... 4.90 μB per formula unit
Space-group type ... P2_1/m, No. 11
Energy relative to the elements, uncorrected ... -1152 meV/atom